DFT (PBE-GGA) results for a relaxed structure of CrInBr2.

The structure in POSCAR format:
```
CrInBr2
1.0
-1.827 2.964 5.495
1.827 -2.964 5.495
1.827 2.964 -5.495
Cr In Br
1 1 2
Cartesian
0.000 0.000 0.000
0.000 0.000 5.495
1.827 0.000 1.806
0.000 2.964 3.689
```

Computed properties:
- ΔE to the lowest computed polymorph: 22 meV per atom
- Crystal system: orthorhombic
- Mass density: 4.56 g/cm3
- N(E_F): 0.645 states/eV/atom